(1)
{"formula": "MnSbMo2", "functional": "GGA-PBE", "state": "optimized geometry", "lattice": [[2.973, 0.049, 0.000], [-0.050, 2.973, 0.000], [0.000, 0.000, 7.206]], "species": ["Mn", "Mo", "Mo", "Sb"], "fractional_positions": [[0.500, 0.500, 0.750], [0.000, 0.000, 0.533], [0.000, 0.000, 0.967], [0.500, 0.500, 0.250]], "crystal_system": "tetragonal", "sg": "P4/mmm (123)", "e_form_raw_ev_per_atom": 0.35}

=====

(2)
{"formula": "MnSb4Mo", "functional": "GGA-PBE", "state": "optimized geometry", "lattice": [[0.000, 4.322, 4.322], [4.322, 0.000, 4.322], [4.322, 4.322, 0.000]], "species": ["Sb", "Sb", "Sb", "Sb", "Mo", "Mn"], "fractional_positions": [[0.874, 0.375, 0.375], [0.375, 0.375, 0.375], [0.375, 0.375, 0.874], [0.375, 0.874, 0.375], [0.000, 0.000, 0.000], [0.750, 0.750, 0.750]], "crystal_system": "cubic", "sg": "F-43m (216)", "e_form_raw_ev_per_atom": 1.04}

=====

(3)
{"formula": "MnSbMo2", "functional": "GGA-PBE", "state": "optimized geometry", "lattice": [[5.128, -0.086, -0.076], [2.316, 4.577, 0.076], [-3.425, -2.738, 2.662]], "species": ["Mo", "Mo", "Mn", "Sb"], "fractional_positions": [[0.496, 0.496, 0.000], [0.004, 0.004, 0.000], [0.250, 0.750, 0.500], [0.750, 0.250, 0.500]], "crystal_system": "orthorhombic", "sg": "Immm (71)", "e_form_raw_ev_per_atom": 0.18}

=====

(4)
{"formula": "MnSbMo2", "functional": "GGA-PBE", "state": "optimized geometry", "lattice": [[4.489, 0.000, 0.000], [0.000, 4.489, 0.000], [0.000, 0.000, 3.249]], "species": ["Sb", "Mn", "Mo", "Mo"], "fractional_positions": [[0.500, 0.000, 0.500], [0.000, 0.500, 0.500], [0.500, 0.500, 0.000], [0.000, 0.000, 0.000]], "crystal_system": "tetragonal", "sg": "P4/mmm (123)", "e_form_raw_ev_per_atom": 0.29}

=====

(5)
{"formula": "Mn2SbMo", "functional": "GGA-PBE", "state": "optimized geometry", "lattice": [[-3.856, -1.740, -0.252], [1.704, -3.848, 0.499], [-0.324, 0.264, 3.140]], "species": ["Mn", "Mn", "Mo", "Sb"], "fractional_positions": [[0.000, 0.000, 0.000], [0.500, 0.500, 0.000], [0.500, 0.000, 0.500], [0.000, 0.500, 0.500]], "crystal_system": "tetragonal", "sg": "P4/mmm (123)", "e_form_raw_ev_per_atom": 0.28}

=====

(6)
{"formula": "Mn2SbMo", "functional": "GGA-PBE", "state": "optimized geometry", "lattice": [[3.976, 0.000, 0.000], [0.000, 3.976, 0.000], [1.988, 1.988, 8.846]], "species": ["Mn", "Mn", "Mn", "Mn", "Mo", "Mo", "Sb", "Sb"], "fractional_positions": [[0.623, 0.125, 0.250], [0.375, 0.377, 0.750], [0.875, 0.873, 0.750], [0.127, 0.625, 0.250], [0.250, 0.750, 0.500], [0.500, 0.500, 0.000], [0.750, 0.250, 0.500], [0.000, 0.000, 0.000]], "crystal_system": "tetragonal", "sg": "I-42d (122)", "e_form_raw_ev_per_atom": 0.65}

=====

(7)
{"formula": "MnSbMo2", "functional": "GGA-PBE", "state": "optimized geometry", "lattice": [[3.201, 0.000, 0.000], [0.000, 3.201, 0.000], [0.000, 0.000, 6.170]], "species": ["Mo", "Mo", "Mn", "Sb"], "fractional_positions": [[0.500, 0.500, 0.244], [0.000, 0.000, 0.977], [0.500, 0.500, 0.772], [0.000, 0.000, 0.508]], "crystal_system": "tetragonal", "sg": "P4mm (99)", "e_form_raw_ev_per_atom": 0.26}

=====

(8)
{"formula": "Mn4SbMo", "functional": "GGA-PBE", "state": "optimized geometry", "lattice": [[1.580, -1.486, 4.331], [-3.064, -2.109, 3.103], [0.386, -4.735, 0.943]], "species": ["Mo", "Sb", "Mn", "Mn", "Mn", "Mn"], "fractional_positions": [[0.750, 0.750, 0.750], [0.000, 0.000, 0.000], [0.874, 0.375, 0.375], [0.375, 0.874, 0.375], [0.375, 0.375, 0.874], [0.375, 0.375, 0.375]], "crystal_system": "cubic", "sg": "F-43m (216)", "e_form_raw_ev_per_atom": 0.17}